<1>
Compound: MgAsSe2
Source: the Alexandria database
Functional: PBE
Structure: relaxed

Structure (POSCAR):
```
MgAsSe2
1.0
2.068 1.194 8.025
-2.068 1.194 8.025
0.000 -2.388 8.025
Mg As Se
1 1 2
Direct
0.000 0.000 0.000
0.792 0.792 0.792
0.307 0.307 0.307
0.502 0.502 0.502
```

Calculated values
SG: No. 160

---

<2>
Compound: MgAsSe2
Source: the Alexandria database
Functional: PBE
Structure: relaxed

Structure (POSCAR):
```
MgAsSe2
1.0
0.000 3.435 3.435
3.435 0.000 3.435
3.435 3.435 0.000
Mg As Se
1 1 2
Direct
0.000 0.000 0.000
0.500 0.500 0.500
0.250 0.250 0.250
0.750 0.750 0.750
```

Calculated values
SG: No. 225

---

Most stable of them? <1>.